The following is a DFT calculation (PBE) of ZrMn4Rh after structural relaxation.

Cell and atoms, written as CIF:
```
data_ZrMn4Rh
_chemical_formula_sum 'Zr4 Mn16 Rh4'
_symmetry_space_group_name_H-M 'F -4 3 m'
_symmetry_Int_Tables_number 216
_symmetry_space_group_name_Hall 'F -4 2 3'
_cell_length_a 6.7977
_cell_length_b 6.7977
_cell_length_c 6.7977
_cell_angle_alpha 90.00
_cell_angle_beta 90.00
_cell_angle_gamma 90.00
loop_
_atom_site_label
_atom_site_fract_x
_atom_site_fract_y
_atom_site_fract_z
Zr1 0.0000 0.0000 0.0000
Mn1 0.1248 0.1248 0.6248
Rh1 0.2500 0.2500 0.2500
```

Properties
Calculated total energy, Ry/atom: -0.6501
Formation enthalpy at 0 K, eV/atom: -0.08